No. 1
Here is a relaxed Zr3VSi crystal from Alexandria. Energies are from PBE.

abc: 4.806 4.806 4.806
angles: 90.00 90.00 90.00
Atoms (fractional coordinates):
Si 0.500 0.500 0.500
V 0.000 0.000 0.000
Zr 0.500 0.000 0.000
Zr 0.000 0.500 0.000
Zr 0.000 0.000 0.500

Formation energy without anion corrections, kJ per mole of atoms: 63.4
Crystal system: cubic
Symmetry: Pm-3m
Energy above the lowest structure with this stoichiometry, kJ/mol of formula units: 91

=====

No. 2
Here is a relaxed BeHgP3 crystal from Alexandria. Energies are from PBE.

abc: 4.380 4.380 4.380
angles: 90.00 90.00 90.00
Atoms (fractional coordinates):
P 0.500 0.000 0.000
P 0.000 0.000 0.500
P 0.000 0.500 0.000
Hg 0.500 0.500 0.500
Be 0.000 0.000 0.000

Crystal system: cubic
Energy of formation, eV/atom: 0.744
Symmetry: Pm-3m
Energy above the lowest structure with this stoichiometry, kJ/mol of formula units: 0

=====

No. 3
Here is a relaxed Cd5In5Hg2 crystal from Alexandria. Energies are from PBE.

abc: 5.731 7.318 9.920
angles: 101.88 91.89 130.86
Atoms (fractional coordinates):
In 0.239 0.494 0.247
In 0.512 0.006 0.836
In 0.488 0.994 0.164
In 0.761 0.506 0.753
In 0.500 0.000 0.500
Cd 0.737 0.503 0.087
Cd 0.749 0.504 0.420
Cd 0.251 0.496 0.580
Cd 0.000 0.000 0.000
Cd 0.263 0.497 0.913
Hg 0.002 0.000 0.332
Hg 0.998 0.000 0.668

Crystal system: triclinic
Energy of formation, eV/atom: 0.025
Symmetry: P-1
Energy above the lowest structure with this stoichiometry, kJ/mol of formula units: 0

=====

No. 4
Here is a relaxed Th2ZnCdCo crystal from Alexandria. Energies are from PBE.

abc: 3.827 8.107 8.106
angles: 111.76 90.00 90.00
Atoms (fractional coordinates):
Cd 0.250 0.675 0.327
Cd 0.750 0.325 0.673
Co 0.250 0.891 0.898
Co 0.750 0.109 0.102
Th 0.750 0.711 0.000
Th 0.250 0.091 0.332
Th 0.250 0.289 0.000
Th 0.750 0.909 0.668
Zn 0.750 0.426 0.358
Zn 0.250 0.574 0.642

Crystal system: monoclinic
Energy of formation, eV/atom: -0.229
Symmetry: P2_1/m

=====

No. 5
Here is a relaxed NaPuS3 crystal from Alexandria. Energies are from PBE.

abc: 5.133 5.133 5.133
angles: 90.00 90.00 90.00
Last column: magnetic moment on the atom in μB.
Atoms (fractional coordinates):
Na 0.500 0.500 0.500  0.00
Pu 0.000 0.000 0.000  4.07
S 0.000 0.000 0.500  -0.27
S 0.000 0.500 0.000  -0.27
S 0.500 0.000 0.000  -0.27

Formation energy without anion corrections, kJ per mole of atoms: -101.1
Crystal system: cubic
Symmetry: Pm-3m
Energy above the lowest structure with this stoichiometry, kJ/mol of formula units: 10

=====

No. 6
Here is a relaxed LiReTe2 crystal from Alexandria. Energies are from PBE.

abc: 7.802 7.802 7.802
angles: 154.91 154.41 36.14
Atoms (fractional coordinates):
Re 0.800 0.300 0.500
Te 0.941 0.941 0.000
Te 0.210 0.710 0.500
Li 0.549 0.549 0.000

Formation energy without anion corrections, kJ per mole of atoms: 6.3
Crystal system: orthorhombic
Symmetry: Imm2
Energy above the lowest structure with this stoichiometry, kJ/mol of formula units: 13

=====

| no. | magnetic moment (μB/f.u.) | mass density (g/cm3) | Fermi-level density of states (states/eV per cell) |
| --- | --- | --- | --- |
| 1 | 0.000 | 5.275 | 6.5 |
| 2 | 0.000 | 5.979 | 3.4 |
| 3 | 0.000 | 8.511 | 3.9 |
| 4 | 0.000 | 9.966 | 7.0 |
| 5 | 2.999 | 4.460 | 2.2 |
| 6 | 0.000 | 8.571 | 1.3 |